A geometry-optimized Cu2Os2Ru structure. Source: Alexandria, functional PBE.

a = 7.1799 Å, b = 7.1799 Å, c = 2.7481 Å
α = 90.00°, β = 90.00°, γ = 90.00°
With the nearest neighbours (Å) after each atom.
Element x y z (fractional)
Ru  0.0000  0.0000  0.0000  2 Ru 2.75, 4 Os 2.85, 8 Cu 2.98
Os  0.6215  0.1215  0.0000  3 Os 2.47-2.75, 6 Cu 2.48-2.56
Os  0.3785  0.8785  0.0000  3 Os 2.47-2.75, 6 Cu 2.48-2.56
Os  0.1215  0.3785  0.0000  3 Os 2.47-2.75, 6 Cu 2.48-2.56
Cu  0.1753  0.6753  0.5000  6 Os 2.48-2.56, 2 Cu 2.75
Os  0.8785  0.6215  0.0000  3 Os 2.47-2.75, 6 Cu 2.48-2.56
Cu  0.3247  0.1753  0.5000  6 Os 2.48-2.56, 2 Cu 2.75
Cu  0.8247  0.3247  0.5000  6 Os 2.48-2.56, 2 Cu 2.75
Ru  0.5000  0.5000  0.0000  2 Ru 2.75, 4 Os 2.85, 8 Cu 2.98
Cu  0.6753  0.8247  0.5000  6 Os 2.48-2.56, 2 Cu 2.75

Values from the calculation:
final energy	-72.2	eV for the cell shown
formation enthalpy at 0 K	766	meV per atom
DOS(E_F)	5.71	states/eV/f.u.
space group	P4/mbm (127)
ΔE to the lowest computed polymorph	0.000	eV per atom

A geometry-optimized Cu2OsRu structure. Source: Alexandria, functional PBE.

a = 4.5744 Å, b = 4.5744 Å, c = 4.5969 Å
α = 81.44°, β = 81.44°, γ = 33.99°
With the nearest neighbours (Å) after each atom.
Element x y z (fractional)
Cu  0.7504  0.7504  0.7742  5 Cu 2.50-2.67, 4 Ru 2.65-2.67, 3 Os 2.75
Cu  0.0004  0.0004  0.9743  5 Cu 2.50-2.67, 4 Os 2.66, 3 Ru 2.75-2.77
Os  0.5014  0.5014  0.4740  3 Ru 2.52-2.58, 7 Cu 2.66-2.75, 2 Os 2.67
Ru  0.2478  0.2478  0.2775  3 Os 2.52-2.58, 7 Cu 2.65-2.77, 2 Ru 2.67

Values from the calculation:
final energy	-27.7	eV for the cell shown
formation enthalpy at 0 K	241	meV per atom
DOS(E_F)	2.45	states/eV/f.u.
space group	Cm (8)
ΔE to the lowest computed polymorph	0.056	eV per atom

A geometry-optimized CuOsRu2Se structure. Source: Alexandria, functional PBE.

a = 4.5035 Å, b = 4.5228 Å, c = 4.5035 Å
α = 90.00°, β = 90.00°, γ = 90.00°
With the nearest neighbours (Å) after each atom.
Element x y z (fractional)
Cu  0.5000  0.5000  0.5000  4 Os 3.18, 8 Ru 3.19
Ru  0.0000  0.0000  0.5000  2 Se 2.25
Se  0.0000  0.0000  0.0000  4 Ru 2.25, 2 Os 2.26
Ru  0.5000  0.0000  0.0000  2 Se 2.25
Os  0.0000  0.5000  0.0000  2 Se 2.26

Values from the calculation:
final energy	-30.3	eV for the cell shown
DOS(E_F)	5.32	states/eV/f.u.
space group	P4/mmm (123)

A geometry-optimized TaCu2OsRu structure. Source: Alexandria, functional PBE.

a = 4.6471 Å, b = 4.6614 Å, c = 4.6471 Å
α = 90.00°, β = 90.00°, γ = 90.00°
With the nearest neighbours (Å) after each atom.
Element x y z (fractional)
Ru  0.5000  0.5000  0.5000  4 Os 3.29, 8 Cu 3.29
Ta  0.0000  0.0000  0.0000  4 Cu 2.32, 2 Os 2.33
Cu  0.0000  0.0000  0.5000  2 Ta 2.32
Cu  0.5000  0.0000  0.0000  2 Ta 2.32
Os  0.0000  0.5000  0.0000  2 Ta 2.33

Values from the calculation:
final energy	-30.4	eV for the cell shown
formation enthalpy at 0 K	2027	meV per atom
DOS(E_F)	6.04	states/eV/f.u.
space group	P4/mmm (123)

A geometry-optimized V2CuOsRu structure. Source: Alexandria, functional PBE.

a = 4.3596 Å, b = 4.5184 Å, c = 4.3596 Å
α = 90.00°, β = 90.00°, γ = 90.00°
With the nearest neighbours (Å) after each atom.
Element x y z (fractional)
Cu  0.0000  0.5000  0.0000  2 Ru 2.26
Os  0.5000  0.5000  0.5000  4 Cu 3.08, 8 V 3.14
Ru  0.0000  0.0000  0.0000  4 V 2.18, 2 Cu 2.26
V  0.0000  0.0000  0.5000  2 Ru 2.18
V  0.5000  0.0000  0.0000  2 Ru 2.18

Values from the calculation:
final energy	-35.3	eV for the cell shown
formation enthalpy at 0 K	1502	meV per atom
DOS(E_F)	7.48	states/eV/f.u.
space group	P4/mmm (123)

A geometry-optimized CuOsRuW structure. Source: Alexandria, functional PBE.

a = 4.3239 Å, b = 4.3239 Å, c = 4.3239 Å
α = 60.00°, β = 60.00°, γ = 60.00°
With the nearest neighbours (Å) after each atom.
Element x y z (fractional)
Ru  0.2500  0.2500  0.2500  4 Cu 2.65, 4 W 2.65
Cu  0.0000  0.0000  0.0000  4 Ru 2.65, 4 Os 2.65
W  0.5000  0.5000  0.5000  4 Ru 2.65, 4 Os 2.65
Os  0.7500  0.7500  0.7500  4 W 2.65, 4 Cu 2.65

Values from the calculation:
final energy	-37.0	eV for the cell shown
formation enthalpy at 0 K	142	meV per atom
DOS(E_F)	4.91	states/eV/f.u.
space group	F-43m (216)

A geometry-optimized YCu2OsRu structure. Source: Alexandria, functional PBE.

a = 4.6621 Å, b = 4.6612 Å, c = 4.6621 Å
α = 90.00°, β = 90.00°, γ = 90.00°
With the nearest neighbours (Å) after each atom.
Element x y z (fractional)
Cu  0.5000  0.0000  0.0000  2 Os 2.33
Os  0.0000  0.0000  0.0000  2 Ru 2.33, 4 Cu 2.33
Cu  0.0000  0.0000  0.5000  2 Os 2.33
Y  0.5000  0.5000  0.5000  8 Cu 3.30, 4 Ru 3.30
Ru  0.0000  0.5000  0.0000  2 Os 2.33

Values from the calculation:
final energy	-31.8	eV for the cell shown
formation enthalpy at 0 K	673	meV per atom
DOS(E_F)	4.30	states/eV/f.u.
space group	P4/mmm (123)

A geometry-optimized Zr2CuOsRu structure. Source: Alexandria, functional PBE.

a = 4.9627 Å, b = 4.6495 Å, c = 4.9627 Å
α = 90.00°, β = 90.00°, γ = 90.00°
With the nearest neighbours (Å) after each atom.
Element x y z (fractional)
Zr  0.5000  0.0000  0.0000  2 Ru 2.48
Cu  0.5000  0.5000  0.5000  8 Zr 3.40, 4 Os 3.51
Ru  0.0000  0.0000  0.0000  2 Os 2.32, 4 Zr 2.48
Zr  0.0000  0.0000  0.5000  2 Ru 2.48
Os  0.0000  0.5000  0.0000  2 Ru 2.32

Values from the calculation:
final energy	-37.0	eV for the cell shown
formation enthalpy at 0 K	934	meV per atom
DOS(E_F)	5.93	states/eV/f.u.
space group	P4/mmm (123)

A geometry-optimized Cu2OsS structure. Source: Alexandria, functional PBE.

a = 6.9665 Å, b = 6.9665 Å, c = 5.4332 Å
α = 50.13°, β = 50.13°, γ = 90.00°
With the nearest neighbours (Å) after each atom.
Element x y z (fractional)
Cu  0.3750  0.4116  0.7500  2 Cu 2.35, 2 S 2.36
Os  0.7500  0.2500  0.5000  2 S 2.29
S  0.2500  0.7500  0.5000  2 Os 2.29, 4 Cu 2.36
Cu  0.1616  0.6250  0.2500  2 Cu 2.35, 2 S 2.36
S  0.5000  0.5000  0.0000  2 Os 2.29, 4 Cu 2.36
Cu  0.8750  0.8384  0.7500  2 Cu 2.35, 2 S 2.36
Os  0.0000  0.0000  0.0000  2 S 2.29
Cu  0.5884  0.1250  0.2500  2 Cu 2.35, 2 S 2.36

Values from the calculation:
final energy	-42.5	eV for the cell shown
DOS(E_F)	4.61	states/eV/f.u.
space group	I-42d (122)

A geometry-optimized CuOs3S structure. Source: Alexandria, functional PBE.

a = 4.3172 Å, b = 4.3172 Å, c = 4.3172 Å
α = 90.00°, β = 90.00°, γ = 90.00°
With the nearest neighbours (Å) after each atom.
Element x y z (fractional)
Cu  0.5000  0.5000  0.5000  12 Os 3.05
S  0.0000  0.0000  0.0000  6 Os 2.16
Os  0.0000  0.5000  0.0000  2 S 2.16
Os  0.5000  0.0000  0.0000  2 S 2.16
Os  0.0000  0.0000  0.5000  2 S 2.16

Values from the calculation:
final energy	-35.6	eV for the cell shown
DOS(E_F)	6.49	states/eV/f.u.
space group	Pm-3m (221)
ΔE to the lowest computed polymorph	0.000	eV per atom

A geometry-optimized Cu3OsS structure. Source: Alexandria, functional PBE.

a = 4.2205 Å, b = 4.2205 Å, c = 4.2205 Å
α = 90.00°, β = 90.00°, γ = 90.00°
With the nearest neighbours (Å) after each atom.
Element x y z (fractional)
S  0.0000  0.0000  0.0000  6 Cu 2.11
Os  0.5000  0.5000  0.5000  12 Cu 2.98
Cu  0.0000  0.0000  0.5000  2 S 2.11
Cu  0.5000  0.0000  0.0000  2 S 2.11
Cu  0.0000  0.5000  0.0000  2 S 2.11

Values from the calculation:
final energy	-22.5	eV for the cell shown
DOS(E_F)	3.30	states/eV/f.u.
space group	Pm-3m (221)
ΔE to the lowest computed polymorph	0.000	eV per atom

A geometry-optimized Cu3OsS structure. Source: Alexandria, functional PBE.

a = 4.6479 Å, b = 4.6479 Å, c = 4.6479 Å
α = 90.00°, β = 90.00°, γ = 90.00°
With the nearest neighbours (Å) after each atom.
Element x y z (fractional)
S  0.5000  0.5000  0.5000  12 Cu 3.29
Cu  0.0000  0.5000  0.0000  2 Os 2.32
Os  0.0000  0.0000  0.0000  6 Cu 2.32
Cu  0.0000  0.0000  0.5000  2 Os 2.32
Cu  0.5000  0.0000  0.0000  2 Os 2.32

Values from the calculation:
final energy	-19.7	eV for the cell shown
DOS(E_F)	4.19	states/eV/f.u.
space group	Pm-3m (221)
ΔE to the lowest computed polymorph	0.570	eV per atom